*one*
# PbSN2 (PBE, optimized geometry)
data_PbSN2
_chemical_formula_sum 'Pb1 S1 N2'
_symmetry_space_group_name_H-M 'P 1'
_symmetry_Int_Tables_number 1
_symmetry_space_group_name_Hall 'P 1'
_cell_length_a 3.7687
_cell_length_b 3.7699
_cell_length_c 8.5633
_cell_angle_alpha 79.53
_cell_angle_beta 79.27
_cell_angle_gamma 89.95
loop_
_atom_site_label
_atom_site_type_symbol
_atom_site_fract_x
_atom_site_fract_y
_atom_site_fract_z
Pb1 Pb 0.0000 0.0000 0.0000
S1 S 0.4490 0.4509 0.1228
N1 N 0.0299 0.7091 0.5949
N2 N 0.9214 0.7960 0.4820
# ρ (kg/m3): 3778

*two*
# PbSN2 (PBE, optimized geometry)
data_PbSN2
_chemical_formula_sum 'Pb4 S4 N8'
_symmetry_space_group_name_H-M 'I -4 2 d'
_symmetry_Int_Tables_number 122
_symmetry_space_group_name_Hall 'I -4 2bw'
_cell_length_a 5.3419
_cell_length_b 5.3419
_cell_length_c 9.0461
_cell_angle_alpha 90.00
_cell_angle_beta 90.00
_cell_angle_gamma 90.00
loop_
_atom_site_label
_atom_site_type_symbol
_atom_site_fract_x
_atom_site_fract_y
_atom_site_fract_z
Pb1 Pb 0.0000 0.0000 0.0000
S1 S 0.0000 0.0000 0.5000
N1 N 0.1281 0.2500 0.6250
# ρ (kg/m3): 6877

*three*
# PbSN2 (PBE, optimized geometry)
data_PbSN2
_chemical_formula_sum 'Pb3 S3 N6'
_symmetry_space_group_name_H-M 'R -3 m'
_symmetry_Int_Tables_number 166
_symmetry_space_group_name_Hall '-R 3 2"'
_cell_length_a 3.7955
_cell_length_b 3.7955
_cell_length_c 18.3578
_cell_angle_alpha 90.00
_cell_angle_beta 90.00
_cell_angle_gamma 120.00
loop_
_atom_site_label
_atom_site_type_symbol
_atom_site_fract_x
_atom_site_fract_y
_atom_site_fract_z
Pb1 Pb 0.0000 0.0000 0.0000
S1 S 0.0000 0.0000 0.5000
N1 N 0.0000 0.0000 0.4132
# ρ (kg/m3): 5814

On energetic grounds, *one* is preferred over the next structure by 98.1 kJ/mol of atoms.

*one*
# SbPbSN2 (PBE, optimized geometry)
data_SbPbSN2
_chemical_formula_sum 'Sb1 Pb1 S1 N2'
_symmetry_space_group_name_H-M 'P 4/m m m'
_symmetry_Int_Tables_number 123
_symmetry_space_group_name_Hall '-P 4 2'
_cell_length_a 4.2965
_cell_length_b 4.2965
_cell_length_c 5.3475
_cell_angle_alpha 90.00
_cell_angle_beta 90.00
_cell_angle_gamma 90.00
loop_
_atom_site_label
_atom_site_type_symbol
_atom_site_fract_x
_atom_site_fract_y
_atom_site_fract_z
Sb1 Sb 0.0000 0.0000 0.0000
Pb1 Pb 0.5000 0.5000 0.5000
S1 S 0.5000 0.5000 0.0000
N1 N 0.0000 0.5000 0.5000
# ρ (kg/m3): 6544

*two*
# SbPbSN2 (PBE, optimized geometry)
data_SbPbSN2
_chemical_formula_sum 'Sb1 Pb1 S1 N2'
_symmetry_space_group_name_H-M 'P 4/m m m'
_symmetry_Int_Tables_number 123
_symmetry_space_group_name_Hall '-P 4 2'
_cell_length_a 4.1321
_cell_length_b 4.1321
_cell_length_c 5.2208
_cell_angle_alpha 90.00
_cell_angle_beta 90.00
_cell_angle_gamma 90.00
loop_
_atom_site_label
_atom_site_type_symbol
_atom_site_fract_x
_atom_site_fract_y
_atom_site_fract_z
Sb1 Sb 0.0000 0.0000 0.0000
Pb1 Pb 0.5000 0.5000 0.5000
S1 S 0.0000 0.0000 0.5000
N1 N 0.0000 0.5000 0.0000
# ρ (kg/m3): 7247

On energetic grounds, *two* is preferred over the next structure by 69.8 kJ/mol of atoms.

*one*
# ScPbSN2 (PBE, optimized geometry)
data_ScPbSN2
_chemical_formula_sum 'Sc1 Pb1 S1 N2'
_symmetry_space_group_name_H-M 'P 4/m m m'
_symmetry_Int_Tables_number 123
_symmetry_space_group_name_Hall '-P 4 2'
_cell_length_a 4.2929
_cell_length_b 4.2929
_cell_length_c 5.0972
_cell_angle_alpha 90.00
_cell_angle_beta 90.00
_cell_angle_gamma 90.00
loop_
_atom_site_label
_atom_site_type_symbol
_atom_site_fract_x
_atom_site_fract_y
_atom_site_fract_z
Sc1 Sc 0.0000 0.0000 0.0000
Pb1 Pb 0.5000 0.5000 0.5000
S1 S 0.0000 0.0000 0.5000
N1 N 0.0000 0.5000 0.0000
# ρ (kg/m3): 5520

*two*
# ScPbSN2 (PBE, optimized geometry)
data_ScPbSN2
_chemical_formula_sum 'Sc1 Pb1 S1 N2'
_symmetry_space_group_name_H-M 'P 4/m m m'
_symmetry_Int_Tables_number 123
_symmetry_space_group_name_Hall '-P 4 2'
_cell_length_a 4.1689
_cell_length_b 4.1689
_cell_length_c 5.2990
_cell_angle_alpha 90.00
_cell_angle_beta 90.00
_cell_angle_gamma 90.00
loop_
_atom_site_label
_atom_site_type_symbol
_atom_site_fract_x
_atom_site_fract_y
_atom_site_fract_z
Sc1 Sc 0.0000 0.0000 0.0000
Pb1 Pb 0.5000 0.5000 0.5000
S1 S 0.5000 0.5000 0.0000
N1 N 0.0000 0.5000 0.5000
# ρ (kg/m3): 5630

On energetic grounds, *one* is preferred over the next structure by 68.8 kJ/mol of atoms.

*one*
# PbSeS2N (PBE, optimized geometry)
data_PbSeS2N
_chemical_formula_sum 'Pb1 Se1 S2 N1'
_symmetry_space_group_name_H-M 'P 4/m m m'
_symmetry_Int_Tables_number 123
_symmetry_space_group_name_Hall '-P 4 2'
_cell_length_a 5.0667
_cell_length_b 5.0667
_cell_length_c 3.8497
_cell_angle_alpha 90.00
_cell_angle_beta 90.00
_cell_angle_gamma 90.00
loop_
_atom_site_label
_atom_site_type_symbol
_atom_site_fract_x
_atom_site_fract_y
_atom_site_fract_z
Pb1 Pb 0.0000 0.0000 0.0000
Se1 Se 0.5000 0.5000 0.5000
S1 S 0.0000 0.5000 0.5000
N1 N 0.5000 0.5000 0.0000
# ρ (kg/m3): 6121

*two*
# PbSeS2N (PBE, optimized geometry)
data_PbSeS2N
_chemical_formula_sum 'Pb1 Se1 S2 N1'
_symmetry_space_group_name_H-M 'P 4/m m m'
_symmetry_Int_Tables_number 123
_symmetry_space_group_name_Hall '-P 4 2'
_cell_length_a 5.2863
_cell_length_b 5.2863
_cell_length_c 4.1582
_cell_angle_alpha 90.00
_cell_angle_beta 90.00
_cell_angle_gamma 90.00
loop_
_atom_site_label
_atom_site_type_symbol
_atom_site_fract_x
_atom_site_fract_y
_atom_site_fract_z
Pb1 Pb 0.0000 0.0000 0.0000
Se1 Se 0.5000 0.5000 0.5000
S1 S 0.0000 0.5000 0.0000
N1 N 0.0000 0.0000 0.5000
# ρ (kg/m3): 5206

On energetic grounds, *one* is preferred over the next structure by 77.2 kJ/mol of atoms.

*one*
# SnPbSN2 (PBE, optimized geometry)
data_SnPbSN2
_chemical_formula_sum 'Sn1 Pb1 S1 N2'
_symmetry_space_group_name_H-M 'P 4/m m m'
_symmetry_Int_Tables_number 123
_symmetry_space_group_name_Hall '-P 4 2'
_cell_length_a 4.2453
_cell_length_b 4.2453
_cell_length_c 5.2565
_cell_angle_alpha 90.00
_cell_angle_beta 90.00
_cell_angle_gamma 90.00
loop_
_atom_site_label
_atom_site_type_symbol
_atom_site_fract_x
_atom_site_fract_y
_atom_site_fract_z
Sn1 Sn 0.0000 0.0000 0.0000
Pb1 Pb 0.5000 0.5000 0.5000
S1 S 0.0000 0.0000 0.5000
N1 N 0.0000 0.5000 0.0000
# ρ (kg/m3): 6766

*two*
# SnPbSN2 (PBE, optimized geometry)
data_SnPbSN2
_chemical_formula_sum 'Sn1 Pb1 S1 N2'
_symmetry_space_group_name_H-M 'P 4/m m m'
_symmetry_Int_Tables_number 123
_symmetry_space_group_name_Hall '-P 4 2'
_cell_length_a 4.3785
_cell_length_b 4.3785
_cell_length_c 5.4358
_cell_angle_alpha 90.00
_cell_angle_beta 90.00
_cell_angle_gamma 90.00
loop_
_atom_site_label
_atom_site_type_symbol
_atom_site_fract_x
_atom_site_fract_y
_atom_site_fract_z
Sn1 Sn 0.0000 0.0000 0.0000
Pb1 Pb 0.5000 0.5000 0.5000
S1 S 0.5000 0.5000 0.0000
N1 N 0.0000 0.5000 0.5000
# ρ (kg/m3): 6150

On energetic grounds, *one* is preferred over the next structure by 47.3 kJ/mol of atoms.

*one*
# SrPbS2N (PBE, optimized geometry)
data_SrPbS2N
_chemical_formula_sum 'Sr1 Pb1 S2 N1'
_symmetry_space_group_name_H-M 'P 4/m m m'
_symmetry_Int_Tables_number 123
_symmetry_space_group_name_Hall '-P 4 2'
_cell_length_a 5.3055
_cell_length_b 5.3055
_cell_length_c 4.3525
_cell_angle_alpha 90.00
_cell_angle_beta 90.00
_cell_angle_gamma 90.00
loop_
_atom_site_label
_atom_site_type_symbol
_atom_site_fract_x
_atom_site_fract_y
_atom_site_fract_z
Sr1 Sr 0.0000 0.0000 0.0000
Pb1 Pb 0.5000 0.5000 0.5000
S1 S 0.0000 0.5000 0.5000
N1 N 0.5000 0.5000 0.0000
# ρ (kg/m3): 5055

*two*
# SrPbS2N (PBE, optimized geometry)
data_SrPbS2N
_chemical_formula_sum 'Sr1 Pb1 S2 N1'
_symmetry_space_group_name_H-M 'P 4/m m m'
_symmetry_Int_Tables_number 123
_symmetry_space_group_name_Hall '-P 4 2'
_cell_length_a 5.5700
_cell_length_b 5.5700
_cell_length_c 4.7626
_cell_angle_alpha 90.00
_cell_angle_beta 90.00
_cell_angle_gamma 90.00
loop_
_atom_site_label
_atom_site_type_symbol
_atom_site_fract_x
_atom_site_fract_y
_atom_site_fract_z
Sr1 Sr 0.0000 0.0000 0.0000
Pb1 Pb 0.5000 0.5000 0.5000
S1 S 0.0000 0.5000 0.0000
N1 N 0.0000 0.0000 0.5000
# ρ (kg/m3): 4191

On energetic grounds, *one* is preferred over the next structure by 46.6 kJ/mol of atoms.

*one*
# SrPbSN2 (PBE, optimized geometry)
data_SrPbSN2
_chemical_formula_sum 'Sr1 Pb1 S1 N2'
_symmetry_space_group_name_H-M 'P 4/m m m'
_symmetry_Int_Tables_number 123
_symmetry_space_group_name_Hall '-P 4 2'
_cell_length_a 4.4241
_cell_length_b 4.4241
_cell_length_c 5.4499
_cell_angle_alpha 90.00
_cell_angle_beta 90.00
_cell_angle_gamma 90.00
loop_
_atom_site_label
_atom_site_type_symbol
_atom_site_fract_x
_atom_site_fract_y
_atom_site_fract_z
Sr1 Sr 0.0000 0.0000 0.0000
Pb1 Pb 0.5000 0.5000 0.5000
S1 S 0.5000 0.5000 0.0000
N1 N 0.0000 0.5000 0.5000
# ρ (kg/m3): 5525

*two*
# SrPbSN2 (PBE, optimized geometry)
data_SrPbSN2
_chemical_formula_sum 'Sr1 Pb1 S1 N2'
_symmetry_space_group_name_H-M 'P 4/m m m'
_symmetry_Int_Tables_number 123
_symmetry_space_group_name_Hall '-P 4 2'
_cell_length_a 4.7718
_cell_length_b 4.7718
_cell_length_c 5.7774
_cell_angle_alpha 90.00
_cell_angle_beta 90.00
_cell_angle_gamma 90.00
loop_
_atom_site_label
_atom_site_type_symbol
_atom_site_fract_x
_atom_site_fract_y
_atom_site_fract_z
Sr1 Sr 0.0000 0.0000 0.0000
Pb1 Pb 0.5000 0.5000 0.5000
S1 S 0.0000 0.0000 0.5000
N1 N 0.0000 0.5000 0.0000
# ρ (kg/m3): 4480

On energetic grounds, *one* is preferred over the next structure by 47.8 kJ/mol of atoms.

*one*
# Te2PbSN (PBE, optimized geometry)
data_Te2PbSN
_chemical_formula_sum 'Te2 Pb1 S1 N1'
_symmetry_space_group_name_H-M 'P 4/m m m'
_symmetry_Int_Tables_number 123
_symmetry_space_group_name_Hall '-P 4 2'
_cell_length_a 6.2403
_cell_length_b 6.2403
_cell_length_c 3.2781
_cell_angle_alpha 90.00
_cell_angle_beta 90.00
_cell_angle_gamma 90.00
loop_
_atom_site_label
_atom_site_type_symbol
_atom_site_fract_x
_atom_site_fract_y
_atom_site_fract_z
Te1 Te 0.0000 0.5000 0.0000
Pb1 Pb 0.0000 0.0000 0.5000
S1 S 0.5000 0.5000 0.0000
N1 N 0.5000 0.5000 0.5000
# ρ (kg/m3): 6614

*two*
# Te2PbSN (PBE, optimized geometry)
data_Te2PbSN
_chemical_formula_sum 'Te2 Pb1 S1 N1'
_symmetry_space_group_name_H-M 'P 4/m m m'
_symmetry_Int_Tables_number 123
_symmetry_space_group_name_Hall '-P 4 2'
_cell_length_a 5.9097
_cell_length_b 5.9097
_cell_length_c 4.2073
_cell_angle_alpha 90.00
_cell_angle_beta 90.00
_cell_angle_gamma 90.00
loop_
_atom_site_label
_atom_site_type_symbol
_atom_site_fract_x
_atom_site_fract_y
_atom_site_fract_z
Te1 Te 0.0000 0.5000 0.0000
Pb1 Pb 0.0000 0.0000 0.0000
S1 S 0.5000 0.5000 0.5000
N1 N 0.0000 0.0000 0.5000
# ρ (kg/m3): 5746

On energetic grounds, *one* is preferred over the next structure by 81.4 kJ/mol of atoms.